*a*
Entry from Alexandria via LeMat-Bulk: LaCd3Ru after structural relaxation (PBE).

Properties
* density of states at the Fermi level: 4.17 states/eV per cell
* magnetic moment: 1.74 μB/f.u.

a = 5.941 Å, b = 5.941 Å, c = 5.941 Å
α = 90.00°, β = 90.00°, γ = 90.00°
Each line ends with the local moment (μB).
Sites, in units of the cell vectors:
Cd 0.500 0.000 0.000  -0.07
Cd 0.000 0.500 0.000  -0.04
Cd 0.000 0.000 0.500  -0.01
Ru 0.500 0.500 0.500  2.58
La 0.000 0.000 0.000  -0.39


*b*
Entry from Alexandria via LeMat-Bulk: LaCd3Ru after structural relaxation (PBE).

Properties
* density of states at the Fermi level: 5.73 states/eV per cell
* magnetic moment: 0.00 μB/f.u.

a = 5.145 Å, b = 5.145 Å, c = 5.145 Å
α = 90.00°, β = 90.00°, γ = 90.00°
Sites, in units of the cell vectors:
Cd 0.500 0.000 0.000
Cd 0.000 0.000 0.500
Cd 0.000 0.500 0.000
Ru 0.000 0.000 0.000
La 0.500 0.500 0.500


*b* is preferred energetically. Next in line: 1.506 eV/atom higher.


*a*
Entry from Alexandria via LeMat-Bulk: La4Cd2Ru after structural relaxation (PBE).

Properties
* density of states at the Fermi level: 10.66 states/eV per cell
* magnetic moment: 0.00 μB/f.u.

a = 5.419 Å, b = 5.419 Å, c = 8.959 Å
α = 72.40°, β = 72.40°, γ = 90.00°
Sites, in units of the cell vectors:
La 0.000 0.500 0.000
La 0.178 0.178 0.644
La 0.500 0.000 0.000
La 0.822 0.822 0.356
Cd 0.374 0.374 0.253
Cd 0.626 0.626 0.747
Ru 0.000 0.000 0.000


*b*
Entry from Alexandria via LeMat-Bulk: La4Cd2Ru after structural relaxation (PBE).

Properties
* density of states at the Fermi level: 13.99 states/eV per cell
* magnetic moment: 0.00 μB/f.u.

a = 3.988 Å, b = 5.818 Å, c = 19.956 Å
α = 90.00°, β = 90.00°, γ = 110.05°
Sites, in units of the cell vectors:
Cd 0.211 0.421 0.066
Cd 0.789 0.579 0.566
Cd 0.789 0.579 0.934
Cd 0.211 0.421 0.434
La 0.920 0.841 0.149
La 0.920 0.841 0.351
La 0.080 0.159 0.851
La 0.500 0.000 0.000
La 0.080 0.159 0.649
La 0.500 0.000 0.500
La 0.815 0.630 0.750
La 0.185 0.370 0.250
Ru 0.447 0.894 0.250
Ru 0.553 0.106 0.750


*a* is preferred energetically. Next in line: 0.011 eV/atom higher.


*a*
Entry from Alexandria via LeMat-Bulk: LaCd2Ru2 after structural relaxation (PBE).

Properties
* density of states at the Fermi level: 9.22 states/eV per cell
* magnetic moment: 0.00 μB/f.u.

a = 7.505 Å, b = 7.505 Å, c = 3.576 Å
α = 90.00°, β = 90.00°, γ = 90.00°
Sites, in units of the cell vectors:
Cd 0.144 0.644 0.500
Cd 0.356 0.144 0.500
Cd 0.644 0.856 0.500
Cd 0.856 0.356 0.500
Ru 0.850 0.650 0.000
Ru 0.650 0.150 0.000
Ru 0.150 0.350 0.000
Ru 0.350 0.850 0.000
La 0.500 0.500 0.000
La 0.000 0.000 0.000


*b*
Entry from Alexandria via LeMat-Bulk: LaCd2Ru2 after structural relaxation (PBE).

Properties
* density of states at the Fermi level: 6.79 states/eV per cell
* magnetic moment: 1.02 μB/f.u.

a = 4.392 Å, b = 4.392 Å, c = 6.529 Å
α = 70.35°, β = 70.35°, γ = 90.00°
Each line ends with the local moment (μB).
Sites, in units of the cell vectors:
Cd 0.750 0.250 0.500  0.01
Cd 0.250 0.750 0.500  0.01
La 0.000 0.000 0.000  -0.02
Ru 0.400 0.400 0.200  0.50
Ru 0.600 0.600 0.800  0.50


*b* is preferred energetically. Next in line: 0.091 eV/atom higher.


*a*
Entry from Alexandria via LeMat-Bulk: LaCdRu3 after structural relaxation (PBE).

Properties
* density of states at the Fermi level: 8.55 states/eV per cell
* magnetic moment: 0.00 μB/f.u.

a = 4.879 Å, b = 4.879 Å, c = 4.879 Å
α = 90.00°, β = 90.00°, γ = 90.00°
Sites, in units of the cell vectors:
Ru 0.000 0.000 0.500
Ru 0.500 0.000 0.000
Ru 0.000 0.500 0.000
Cd 0.000 0.000 0.000
La 0.500 0.500 0.500


*b*
Entry from Alexandria via LeMat-Bulk: LaCdRu3 after structural relaxation (PBE).

Properties
* density of states at the Fermi level: 8.53 states/eV per cell
* magnetic moment: 2.26 μB/f.u.

a = 4.837 Å, b = 4.837 Å, c = 4.837 Å
α = 90.00°, β = 90.00°, γ = 90.00°
Each line ends with the local moment (μB).
Sites, in units of the cell vectors:
Cd 0.500 0.500 0.500  -0.03
Ru 0.000 0.500 0.000  0.86
Ru 0.000 0.000 0.500  0.72
Ru 0.500 0.000 0.000  0.69
La 0.000 0.000 0.000  -0.03


*a* is preferred energetically. Next in line: 0.264 eV/atom higher.


*a*
Entry from Alexandria via LeMat-Bulk: LaCdS3 after structural relaxation (PBE).

Properties
* density of states at the Fermi level: 1.96 states/eV per cell
* magnetic moment: 0.00 μB/f.u.

a = 4.920 Å, b = 4.920 Å, c = 4.920 Å
α = 90.00°, β = 90.00°, γ = 90.00°
Sites, in units of the cell vectors:
S 0.000 0.000 0.500
S 0.500 0.000 0.000
S 0.000 0.500 0.000
Cd 0.000 0.000 0.000
La 0.500 0.500 0.500


*b*
Entry from Alexandria via LeMat-Bulk: LaCdS3 after structural relaxation (PBE).

Properties
* density of states at the Fermi level: 5.52 states/eV per cell
* magnetic moment: 1.10 μB/f.u.

a = 5.484 Å, b = 5.484 Å, c = 5.484 Å
α = 90.00°, β = 90.00°, γ = 90.00°
Each line ends with the local moment (μB).
Sites, in units of the cell vectors:
S 0.000 0.500 0.000  0.21
S 0.500 0.000 0.000  0.19
S 0.000 0.000 0.500  0.28
La 0.000 0.000 0.000  0.03
Cd 0.500 0.500 0.500  -0.01


*a* is preferred energetically. Next in line: 0.417 eV/atom higher.


*a*
Entry from Alexandria via LeMat-Bulk: La2ScCdS after structural relaxation (PBE).

Properties
* density of states at the Fermi level: 5.95 states/eV per cell
* magnetic moment: 0.85 μB/f.u.

a = 5.487 Å, b = 5.177 Å, c = 5.487 Å
α = 90.00°, β = 90.00°, γ = 90.00°
Each line ends with the local moment (μB).
Sites, in units of the cell vectors:
Cd 0.000 0.500 0.000  -0.01
S 0.000 0.000 0.000  0.00
Sc 0.500 0.500 0.500  0.28
La 0.000 0.000 0.500  0.08
La 0.500 0.000 0.000  0.09


*b*
Entry from Alexandria via LeMat-Bulk: La2ScCdS after structural relaxation (PBE).

Properties
* density of states at the Fermi level: 5.62 states/eV per cell
* magnetic moment: 0.00 μB/f.u.

a = 5.563 Å, b = 5.563 Å, c = 4.829 Å
α = 90.00°, β = 90.00°, γ = 90.00°
Sites, in units of the cell vectors:
Sc 0.000 0.000 0.500
Cd 0.500 0.500 0.500
La 0.000 0.500 0.000
La 0.500 0.000 0.000
S 0.000 0.000 0.000


*b* is preferred energetically. Next in line: 0.420 eV/atom higher.


*a*
Entry from Alexandria via LeMat-Bulk: LaY2CdS after structural relaxation (PBE).

Properties
* density of states at the Fermi level: 5.10 states/eV per cell
* magnetic moment: 0.00 μB/f.u.

a = 5.745 Å, b = 5.570 Å, c = 5.745 Å
α = 90.00°, β = 90.00°, γ = 90.00°
Sites, in units of the cell vectors:
Y 0.500 0.000 0.000
Y 0.000 0.000 0.500
Cd 0.000 0.500 0.000
S 0.500 0.500 0.500
La 0.000 0.000 0.000


*b*
Entry from Alexandria via LeMat-Bulk: LaY2CdS after structural relaxation (PBE).

Properties
* density of states at the Fermi level: 8.12 states/eV per cell
* magnetic moment: 2.77 μB/f.u.

a = 5.785 Å, b = 5.033 Å, c = 5.785 Å
α = 90.00°, β = 90.00°, γ = 90.00°
Each line ends with the local moment (μB).
Sites, in units of the cell vectors:
Y 0.500 0.000 0.000  0.40
Y 0.000 0.000 0.500  0.34
Cd 0.000 0.000 0.000  0.04
La 0.500 0.500 0.500  0.48
S 0.000 0.500 0.000  -0.01


*b* is preferred energetically. Next in line: 0.578 eV/atom higher.


*a*
Entry from Alexandria via LeMat-Bulk: La2CdSb2 after structural relaxation (PBE).

Properties
* density of states at the Fermi level: 0.45 states/eV per cell
* magnetic moment: 0.00 μB/f.u.

a = 8.781 Å, b = 8.781 Å, c = 4.179 Å
α = 90.00°, β = 90.00°, γ = 90.00°
Sites, in units of the cell vectors:
La 0.356 0.856 0.000
La 0.644 0.144 0.000
La 0.144 0.356 0.000
La 0.856 0.644 0.000
Cd 0.000 0.000 0.000
Cd 0.500 0.500 0.000
Sb 0.159 0.659 0.500
Sb 0.841 0.341 0.500
Sb 0.341 0.159 0.500
Sb 0.659 0.841 0.500


*b*
Entry from Alexandria via LeMat-Bulk: La2CdSb2 after structural relaxation (PBE).

Properties
* density of states at the Fermi level: 1.64 states/eV per cell
* magnetic moment: 0.00 μB/f.u.

a = 8.461 Å, b = 8.461 Å, c = 4.308 Å
α = 90.00°, β = 90.00°, γ = 90.00°
Sites, in units of the cell vectors:
La 0.654 0.846 0.500
La 0.346 0.154 0.500
La 0.846 0.346 0.500
La 0.154 0.654 0.500
Sb 0.848 0.652 0.000
Sb 0.152 0.348 0.000
Sb 0.348 0.848 0.000
Sb 0.652 0.152 0.000
Cd 0.000 0.000 0.000
Cd 0.500 0.500 0.000


*c*
Entry from Alexandria via LeMat-Bulk: La2CdSb2 after structural relaxation (PBE).

Properties
* density of states at the Fermi level: 5.31 states/eV per cell
* magnetic moment: 1.24 μB/f.u.

a = 6.303 Å, b = 6.303 Å, c = 6.387 Å
α = 60.44°, β = 60.44°, γ = 90.00°
Each line ends with the local moment (μB).
Sites, in units of the cell vectors:
La 0.250 0.750 0.500  0.17
La 0.750 0.250 0.500  0.17
Sb 0.687 0.687 0.627  0.00
Sb 0.313 0.313 0.373  0.00
Cd 0.000 0.000 0.000  0.04


*b* is preferred energetically. Next in line: 0.060 eV/atom higher.


*a*
Entry from Alexandria via LeMat-Bulk: La2CdSb after structural relaxation (PBE).

Properties
* density of states at the Fermi level: 3.71 states/eV per cell
* magnetic moment: 2.02 μB/f.u.

a = 8.487 Å, b = 8.487 Å, c = 8.487 Å
α = 30.74°, β = 30.74°, γ = 30.74°
Each line ends with the local moment (μB).
Sites, in units of the cell vectors:
Sb 0.483 0.483 0.483  0.01
Cd 0.767 0.767 0.767  0.01
La 0.021 0.021 0.021  0.34
La 0.230 0.230 0.230  0.34


*b*
Entry from Alexandria via LeMat-Bulk: La2CdSb after structural relaxation (PBE).

Properties
* density of states at the Fermi level: 4.32 states/eV per cell
* magnetic moment: 0.02 μB/f.u.

a = 4.113 Å, b = 4.114 Å, c = 8.300 Å
α = 60.29°, β = 90.00°, γ = 90.00°
Sites, in units of the cell vectors:
La 0.000 0.511 0.489
La 0.000 0.989 0.011
Cd 0.500 0.750 0.750
Sb 0.500 0.250 0.250


*b* is preferred energetically. Next in line: 0.453 eV/atom higher.


*a*
Entry from Alexandria via LeMat-Bulk: LaCdSb after structural relaxation (PBE).

Properties
* density of states at the Fermi level: 0.28 states/eV per cell
* magnetic moment: 0.00 μB/f.u.

a = 5.316 Å, b = 5.316 Å, c = 5.316 Å
α = 60.00°, β = 60.00°, γ = 60.00°
Sites, in units of the cell vectors:
Sb 0.000 0.000 0.000
Cd 0.500 0.500 0.500
La 0.750 0.750 0.750


*b*
Entry from Alexandria via LeMat-Bulk: LaCdSb after structural relaxation (PBE).

Properties
* density of states at the Fermi level: 2.23 states/eV per cell
* magnetic moment: 0.00 μB/f.u.

a = 4.544 Å, b = 4.552 Å, c = 8.941 Å
α = 90.00°, β = 90.05°, γ = 90.00°
Sites, in units of the cell vectors:
La 0.751 0.750 0.677
La 0.249 0.250 0.323
Cd 0.750 0.250 0.999
Cd 0.250 0.750 0.001
Sb 0.749 0.750 0.315
Sb 0.251 0.250 0.685


*c*
Entry from Alexandria via LeMat-Bulk: LaCdSb after structural relaxation (PBE).

Properties
* density of states at the Fermi level: 0.58 states/eV per cell
* magnetic moment: 0.00 μB/f.u.

a = 6.392 Å, b = 6.191 Å, c = 3.981 Å
α = 74.32°, β = 68.83°, γ = 36.85°
Sites, in units of the cell vectors:
La 0.330 0.330 0.670
Cd 0.015 0.015 0.985
Sb 0.655 0.655 0.345


*b* is preferred energetically. Next in line: 0.197 eV/atom higher.


*a*
Entry from Alexandria via LeMat-Bulk: LaCdSb2Te after structural relaxation (PBE).

Properties
* density of states at the Fermi level: 4.84 states/eV per cell
* magnetic moment: 0.00 μB/f.u.

a = 5.462 Å, b = 5.624 Å, c = 5.462 Å
α = 90.00°, β = 90.00°, γ = 90.00°
Sites, in units of the cell vectors:
Sb 0.500 0.000 0.000
Sb 0.000 0.000 0.500
Cd 0.000 0.000 0.000
Te 0.000 0.500 0.000
La 0.500 0.500 0.500


*b*
Entry from Alexandria via LeMat-Bulk: LaCdSb2Te after structural relaxation (PBE).

Properties
* density of states at the Fermi level: 7.48 states/eV per cell
* magnetic moment: 0.73 μB/f.u.

a = 6.158 Å, b = 6.158 Å, c = 6.077 Å
α = 90.00°, β = 90.00°, γ = 90.00°
Each line ends with the local moment (μB).
Sites, in units of the cell vectors:
Cd 0.500 0.500 0.500  0.01
Sb 0.500 0.000 0.000  0.10
Sb 0.000 0.500 0.000  0.10
La 0.000 0.000 0.000  0.02
Te 0.000 0.000 0.500  0.08


*a* is preferred energetically. Next in line: 0.320 eV/atom higher.


*a*
Entry from Alexandria via LeMat-Bulk: LaSc3Cd after structural relaxation (PBE).

Properties
* density of states at the Fermi level: 6.53 states/eV per cell
* magnetic moment: 0.00 μB/f.u.

a = 5.211 Å, b = 5.211 Å, c = 5.211 Å
α = 90.00°, β = 90.00°, γ = 90.00°
Sites, in units of the cell vectors:
Sc 0.000 0.500 0.000
Sc 0.500 0.000 0.000
Sc 0.000 0.000 0.500
Cd 0.500 0.500 0.500
La 0.000 0.000 0.000


*b*
Entry from Alexandria via LeMat-Bulk: LaSc3Cd after structural relaxation (PBE).

Properties
* density of states at the Fermi level: 7.32 states/eV per cell
* magnetic moment: 0.00 μB/f.u.

a = 5.366 Å, b = 5.366 Å, c = 5.366 Å
α = 90.00°, β = 90.00°, γ = 90.00°
Sites, in units of the cell vectors:
Cd 0.000 0.000 0.000
Sc 0.000 0.000 0.500
Sc 0.500 0.000 0.000
Sc 0.000 0.500 0.000
La 0.500 0.500 0.500


*b* is preferred energetically. Next in line: 0.508 eV/atom higher.